MgNpAuO6: optimized geometry, PBE-GGA.

Properties
The formation energy without anion corrections is -1689 meV/atom. The space-group type is P-31c (163). The calculation puts the density of states at the Fermi level at 11.82 states/eV/cell. The calculated volume comes out at 12.70 A^3/atom.

a = 5.404 Å, b = 5.404 Å, c = 9.039 Å
α = 90.00°, β = 90.00°, γ = 120.00°
Element x y z (fractional)
Mg  0.333  0.667  0.250
Mg  0.667  0.333  0.750
Np  0.333  0.667  0.750
Np  0.667  0.333  0.250
Au  0.000  0.000  0.000
Au  0.000  0.000  0.500
O  0.011  0.352  0.632
O  0.011  0.659  0.868
O  0.341  0.352  0.868
O  0.341  0.989  0.632
O  0.352  0.011  0.132
O  0.352  0.341  0.368
O  0.648  0.659  0.632
O  0.648  0.989  0.868
O  0.659  0.011  0.368
O  0.659  0.648  0.132
O  0.989  0.341  0.132
O  0.989  0.648  0.368

=====

MgNpPtAu: optimized geometry, PBE-GGA.

Properties
The space-group type is F-43m (216). Its formation energy from the elements is -0.408 eV/atom. The calculation puts the density of states at the Fermi level at 43.50 states/eV/cell. The calculated volume comes out at 20.39 A^3/atom.

a = 6.884 Å, b = 6.884 Å, c = 6.884 Å
α = 90.00°, β = 90.00°, γ = 90.00°
Element x y z (fractional)
Mg  0.000  0.000  0.000
Mg  0.000  0.500  0.500
Mg  0.500  0.000  0.500
Mg  0.500  0.500  0.000
Np  0.000  0.000  0.500
Np  0.000  0.500  0.000
Np  0.500  0.000  0.000
Np  0.500  0.500  0.500
Pt  0.250  0.250  0.750
Pt  0.250  0.750  0.250
Pt  0.750  0.250  0.250
Pt  0.750  0.750  0.750
Au  0.250  0.250  0.250
Au  0.250  0.750  0.750
Au  0.750  0.250  0.750
Au  0.750  0.750  0.250

=====

MgNpRhAu: optimized geometry, PBE-GGA.

Properties
The space-group type is F-43m (216). Its formation energy from the elements is -0.233 eV/atom. The calculation puts the density of states at the Fermi level at 36.52 states/eV/cell. The calculated volume comes out at 19.69 A^3/atom.

a = 6.804 Å, b = 6.804 Å, c = 6.804 Å
α = 90.00°, β = 90.00°, γ = 90.00°
Element x y z (fractional)
Mg  0.000  0.000  0.000
Mg  0.000  0.500  0.500
Mg  0.500  0.000  0.500
Mg  0.500  0.500  0.000
Np  0.000  0.000  0.500
Np  0.000  0.500  0.000
Np  0.500  0.000  0.000
Np  0.500  0.500  0.500
Rh  0.250  0.250  0.750
Rh  0.250  0.750  0.250
Rh  0.750  0.250  0.250
Rh  0.750  0.750  0.750
Au  0.250  0.250  0.250
Au  0.250  0.750  0.750
Au  0.750  0.250  0.750
Au  0.750  0.750  0.250

=====

MgNpSbAu: optimized geometry, PBE-GGA.

Properties
The formation energy without anion corrections is -236 meV/atom. The space-group type is F-43m (216). The calculation puts the density of states at the Fermi level at 43.69 states/eV/cell. The calculated volume comes out at 23.31 A^3/atom.

a = 7.199 Å, b = 7.199 Å, c = 7.199 Å
α = 90.00°, β = 90.00°, γ = 90.00°
Element x y z (fractional)
Mg  0.000  0.000  0.000
Mg  0.000  0.500  0.500
Mg  0.500  0.000  0.500
Mg  0.500  0.500  0.000
Np  0.000  0.000  0.500
Np  0.000  0.500  0.000
Np  0.500  0.000  0.000
Np  0.500  0.500  0.500
Sb  0.250  0.250  0.750
Sb  0.250  0.750  0.250
Sb  0.750  0.250  0.250
Sb  0.750  0.750  0.750
Au  0.250  0.250  0.250
Au  0.250  0.750  0.750
Au  0.750  0.250  0.750
Au  0.750  0.750  0.250

=====

Number 1: magnetization 0.00 μB/atom. Number 2: magnetization 0.97 μB/atom. Number 3: magnetization 0.90 μB/atom. Number 4: magnetization 1.14 μB/atom.